Density functional theory data (PBE-GGA) for LaHg2Pb after structural relaxation.

Summary:
Energy relative to the elements in meV/atom: -247
Electronic total energy in eV/atom: -2.557

The structure in CIF format:
```
data_LaHg2Pb
_space_group_name_H-M_alt 'P m m 2'
_space_group_IT_number 25
_cell_length_a 3.570
_cell_length_b 4.585
_cell_length_c 6.958
_cell_angle_alpha 90.00
_cell_angle_beta 90.00
_cell_angle_gamma 90.00
loop_
_space_group_symop_operation_xyz
'x,y,z'
'-x,-y,z'
'-x,y,z'
'x,-y,z'
loop_
_atom_site_label
_atom_site_fract_x
_atom_site_fract_y
_atom_site_fract_z
_atom_site_occupancy
La1 0.000 0.000 0.000 1
Hg1 0.000 0.000 0.515 1
Hg2 0.500 0.500 0.739 1
Pb1 0.500 0.500 0.264 1
```

Density functional theory data (PBE-GGA) for LaHg5Pb2 after structural relaxation.

Summary:
Energy relative to the elements in meV/atom: -162
Electronic total energy in eV/atom: -1.894

The structure in CIF format:
```
data_LaHg5Pb2
_space_group_name_H-M_alt 'I 4 m m'
_space_group_IT_number 107
_space_group_name_Hall 'I 4 -2'
_cell_length_a 7.928
_cell_length_b 7.928
_cell_length_c 7.093
_cell_angle_alpha 90.00
_cell_angle_beta 90.00
_cell_angle_gamma 90.00
loop_
_atom_site_label
_atom_site_fract_x
_atom_site_fract_y
_atom_site_fract_z
_atom_site_occupancy
La1 0.000 0.000 0.000 1
Hg1 0.000 0.000 0.499 1
Hg2 0.250 0.250 0.250 1
Pb1 0.000 0.500 0.000 1
```

Density functional theory data (PBE-GGA) for LaHg2Pb after structural relaxation.

Summary:
Energy relative to the elements in meV/atom: -136
Electronic total energy in eV/atom: -2.446

The structure in CIF format:
```
data_LaHg2Pb
_space_group_name_H-M_alt 'I m m m'
_space_group_IT_number 71
_space_group_name_Hall '-I 2 2'
_cell_length_a 4.623
_cell_length_b 4.650
_cell_length_c 12.673
_cell_angle_alpha 90.00
_cell_angle_beta 90.00
_cell_angle_gamma 90.00
loop_
_atom_site_label
_atom_site_fract_x
_atom_site_fract_y
_atom_site_fract_z
_atom_site_occupancy
La1 0.000 0.000 0.000 1
Hg1 0.000 0.000 0.257 1
Pb1 0.000 0.000 0.500 1
```

Density functional theory data (PBE-GGA) for LaHg6Pb3 after structural relaxation.

Summary:
Energy relative to the elements in meV/atom: -133
Electronic total energy in eV/atom: -1.920

The structure in CIF format:
```
data_LaHg6Pb3
_space_group_name_H-M_alt 'P 1'
_space_group_IT_number 1
_cell_length_a 6.470
_cell_length_b 6.528
_cell_length_c 8.212
_cell_angle_alpha 66.67
_cell_angle_beta 79.76
_cell_angle_gamma 60.71
loop_
_space_group_symop_operation_xyz
'x,y,z'
loop_
_atom_site_label
_atom_site_fract_x
_atom_site_fract_y
_atom_site_fract_z
_atom_site_occupancy
La1 0.000 0.000 0.000 1
Hg1 0.275 0.556 0.398 1
Hg2 0.528 0.517 0.011 1
Hg3 0.569 0.838 0.210 1
Hg4 0.763 0.059 0.392 1
Hg5 0.838 0.405 0.584 1
Hg6 0.935 0.680 0.780 1
Pb1 0.075 0.360 0.188 1
Pb2 0.330 0.890 0.602 1
Pb3 0.459 0.181 0.801 1
```

Density functional theory data (PBE-GGA) for LaHg2Pb after structural relaxation.

Summary:
Energy relative to the elements in meV/atom: -113
Electronic total energy in eV/atom: -2.423

The structure in CIF format:
```
data_LaHg2Pb
_space_group_name_H-M_alt 'R 3 m'
_space_group_IT_number 160
_space_group_name_Hall 'R 3 -2"'
_cell_length_a 3.6180
_cell_length_b 3.6180
_cell_length_c 31.4291
_cell_angle_alpha 90.00
_cell_angle_beta 90.00
_cell_angle_gamma 120.00
loop_
_atom_site_label
_atom_site_fract_x
_atom_site_fract_y
_atom_site_fract_z
_atom_site_occupancy
La1 0.0000 0.0000 0.0000 1
Hg1 0.0000 0.0000 0.2494 1
Hg2 0.0000 0.0000 0.5081 1
Pb1 0.0000 0.0000 0.7578 1
```

Density functional theory data (PBE-GGA) for LaHg6Pb after structural relaxation.

Summary:
Energy relative to the elements in meV/atom: -202
Electronic total energy in eV/atom: -1.508

The structure in CIF format:
```
data_LaHg6Pb
_space_group_name_H-M_alt 'A m m 2'
_space_group_IT_number 38
_cell_length_a 5.160
_cell_length_b 6.800
_cell_length_c 12.218
_cell_angle_alpha 90.00
_cell_angle_beta 90.00
_cell_angle_gamma 90.00
loop_
_space_group_symop_operation_xyz
'x,y,z'
'-x,-y,z'
'-x,y,z'
'x,-y,z'
'x,y+1/2,z+1/2'
'-x,-y+1/2,z+1/2'
'-x,y+1/2,z+1/2'
'x,-y+1/2,z+1/2'
loop_
_atom_site_label
_atom_site_fract_x
_atom_site_fract_y
_atom_site_fract_z
_atom_site_occupancy
La1 0.000 0.000 0.000 1
Hg1 0.000 0.000 0.482 1
Hg2 0.000 0.242 0.252 1
Hg3 0.500 0.000 0.168 1
Hg4 0.500 0.247 0.906 1
Pb1 0.500 0.000 0.651 1
```

Density functional theory data (PBE-GGA) for LaHg2Pb after structural relaxation.

Summary:
Energy relative to the elements in meV/atom: -333
Electronic total energy in eV/atom: -2.643

The structure in CIF format:
```
data_LaHg2Pb
_space_group_name_H-M_alt 'F -4 3 m'
_space_group_IT_number 216
_space_group_name_Hall 'F -4 2 3'
_cell_length_a 7.671
_cell_length_b 7.671
_cell_length_c 7.671
_cell_angle_alpha 90.00
_cell_angle_beta 90.00
_cell_angle_gamma 90.00
loop_
_atom_site_label
_atom_site_fract_x
_atom_site_fract_y
_atom_site_fract_z
_atom_site_occupancy
La1 0.000 0.000 0.000 1
Hg1 0.000 0.000 0.500 1
Hg2 0.250 0.250 0.250 1
Pb1 0.250 0.250 0.750 1
```

Density functional theory data (PBE-GGA) for LaHgPb after structural relaxation.

Summary:
Energy relative to the elements in meV/atom: -422
Electronic total energy in eV/atom: -3.401

The structure in CIF format:
```
data_LaHgPb
_space_group_name_H-M_alt 'C m c m'
_space_group_IT_number 63
_space_group_name_Hall '-C 2c 2'
_cell_length_a 5.437
_cell_length_b 9.872
_cell_length_c 6.719
_cell_angle_alpha 90.00
_cell_angle_beta 90.00
_cell_angle_gamma 90.00
loop_
_atom_site_label
_atom_site_fract_x
_atom_site_fract_y
_atom_site_fract_z
_atom_site_occupancy
La1 0.000 0.165 0.250 1
Hg1 0.000 0.500 0.000 1
Pb1 0.000 0.162 0.750 1
```

Density functional theory data (PBE-GGA) for LaHg2Pb after structural relaxation.

Summary:
Energy relative to the elements in meV/atom: -338
Electronic total energy in eV/atom: -2.648

The structure in CIF format:
```
data_LaHg2Pb
_space_group_name_H-M_alt 'C 1 m 1'
_space_group_IT_number 8
_cell_length_a 10.412
_cell_length_b 4.864
_cell_length_c 4.835
_cell_angle_alpha 90.00
_cell_angle_beta 111.65
_cell_angle_gamma 90.00
loop_
_space_group_symop_operation_xyz
'x,y,z'
'x,-y,z'
'x+1/2,y+1/2,z'
'x+1/2,-y+1/2,z'
loop_
_atom_site_label
_atom_site_fract_x
_atom_site_fract_y
_atom_site_fract_z
_atom_site_occupancy
La1 0.000 0.000 0.000 1
Hg1 0.009 0.500 0.531 1
Hg2 0.254 0.000 0.745 1
Pb1 0.248 0.500 0.267 1
```

Density functional theory data (PBE-GGA) for La6Hg5Pb after structural relaxation.

Summary:
Energy relative to the elements in meV/atom: -518
Electronic total energy in eV/atom: -3.416

The structure in CIF format:
```
data_La6Hg5Pb
_space_group_name_H-M_alt 'C 1 2/m 1'
_space_group_IT_number 12
_cell_length_a 17.578
_cell_length_b 7.858
_cell_length_c 5.556
_cell_angle_alpha 90.00
_cell_angle_beta 108.32
_cell_angle_gamma 90.00
loop_
_space_group_symop_operation_xyz
'x,y,z'
'-x,-y,-z'
'-x,y,-z'
'x,-y,z'
'x+1/2,y+1/2,z'
'-x+1/2,-y+1/2,-z'
'-x+1/2,y+1/2,-z'
'x+1/2,-y+1/2,z'
loop_
_atom_site_label
_atom_site_fract_x
_atom_site_fract_y
_atom_site_fract_z
_atom_site_occupancy
La1 0.000 0.248 0.000 1
La2 0.168 0.249 0.668 1
Hg1 0.000 0.000 0.500 1
Hg2 0.167 0.000 0.167 1
Hg3 0.170 0.500 0.170 1
Pb1 0.000 0.500 0.500 1
```

Density functional theory data (PBE-GGA) for LaHgPb2 after structural relaxation.

Summary:
Energy relative to the elements in meV/atom: -251
Electronic total energy in eV/atom: -3.412

The structure in CIF format:
```
data_LaHgPb2
_space_group_name_H-M_alt 'P m m m'
_space_group_IT_number 47
_cell_length_a 3.715
_cell_length_b 4.813
_cell_length_c 6.808
_cell_angle_alpha 90.00
_cell_angle_beta 90.00
_cell_angle_gamma 90.00
loop_
_space_group_symop_operation_xyz
'x,y,z'
'-x,-y,-z'
'-x,-y,z'
'x,y,-z'
'x,-y,-z'
'-x,y,z'
'-x,y,-z'
'x,-y,z'
loop_
_atom_site_label
_atom_site_fract_x
_atom_site_fract_y
_atom_site_fract_z
_atom_site_occupancy
La1 0.000 0.000 0.000 1
Hg1 0.000 0.000 0.500 1
Pb1 0.500 0.500 0.255 1
```

Density functional theory data (PBE-GGA) for LaHgPb3 after structural relaxation.

Summary:
Energy relative to the elements in meV/atom: 524
Electronic total energy in eV/atom: -2.746

The structure in CIF format:
```
data_LaHgPb3
_space_group_name_H-M_alt 'P m -3 m'
_space_group_IT_number 221
_space_group_name_Hall '-P 4 2 3'
_cell_length_a 6.202
_cell_length_b 6.202
_cell_length_c 6.202
_cell_angle_alpha 90.00
_cell_angle_beta 90.00
_cell_angle_gamma 90.00
loop_
_atom_site_label
_atom_site_fract_x
_atom_site_fract_y
_atom_site_fract_z
_atom_site_occupancy
La1 0.000 0.000 0.000 1
Hg1 0.500 0.500 0.500 1
Pb1 0.000 0.000 0.500 1
```